Model P:
## Tm5CoTe3 (PBE-GGA)

Data for Tm5CoTe3 after structural relaxation.

Properties
As for the crystal system: hexagonal. The magnetization comes out at 0.0 Bohr magnetons per cell.

abc: 8.114 8.114 4.028
angles: 90.00 90.00 120.00
Sites, in units of the cell vectors:
Co 0.000 0.000 0.000
Te 0.258 0.000 0.500
Te 0.000 0.258 0.500
Te 0.742 0.742 0.500
Tm 0.673 0.000 0.000
Tm 0.327 0.327 0.000
Tm 0.000 0.673 0.000
Tm 0.667 0.333 0.500
Tm 0.333 0.667 0.500

---

Model Q:
## Tm5CoTe3 (PBE-GGA)

Data for Tm5CoTe3 after structural relaxation.

Properties
As for the crystal system: hexagonal. The magnetization comes out at 0.0 Bohr magnetons per cell.

abc: 8.450 8.450 3.714
angles: 90.00 90.00 120.00
Sites, in units of the cell vectors:
Co 0.000 0.000 0.000
Te 0.596 0.000 0.000
Te 0.404 0.404 0.000
Te 0.000 0.596 0.000
Tm 0.224 0.000 0.500
Tm 0.000 0.224 0.500
Tm 0.667 0.333 0.500
Tm 0.333 0.667 0.500
Tm 0.776 0.776 0.500

---

Looking at the structures above, model Q is most stable, and the difference to the next one is 9.5 kJ/mol of atoms.